A) {
  "formula": "BaHfCu3",
  "functional": "GGA-PBE",
  "state": "optimized geometry",
  "lattice": [[5.104, 0.000, 0.000], [0.000, 5.104, 0.000], [0.000, 0.000, 5.104]],
  "species": ["Ba", "Hf", "Cu", "Cu", "Cu"],
  "frac_coords": [[0.000, 0.000, 0.000], [0.500, 0.500, 0.500], [0.000, 0.000, 0.500], [0.000, 0.500, 0.000], [0.500, 0.000, 0.000]],
  "total_magnetization_mub_per_fu": 0.001
}

***

B) {
  "formula": "BaHfCu3",
  "functional": "GGA-PBE",
  "state": "optimized geometry",
  "lattice": [[5.088, 0.000, 0.000], [0.000, 5.088, 0.000], [0.000, 0.000, 5.088]],
  "species": ["Ba", "Hf", "Cu", "Cu", "Cu"],
  "frac_coords": [[0.000, 0.000, 0.000], [0.500, 0.500, 0.500], [0.000, 0.500, 0.500], [0.500, 0.000, 0.500], [0.500, 0.500, 0.000]],
  "total_magnetization_mub_per_fu": 0.000
}

***

B) is the most stable structure; the next one sits 1.161 eV/atom above it.

***

A) {
  "formula": "BaHf3Cu",
  "functional": "GGA-PBE",
  "state": "optimized geometry",
  "lattice": [[5.081, 0.000, 0.000], [0.000, 5.081, 0.000], [0.000, 0.000, 5.081]],
  "species": ["Ba", "Hf", "Hf", "Hf", "Cu"],
  "frac_coords": [[0.000, 0.000, 0.000], [0.000, 0.500, 0.500], [0.500, 0.000, 0.500], [0.500, 0.500, 0.000], [0.500, 0.500, 0.500]],
  "total_magnetization_mub_per_fu": 0.000
}

***

B) {
  "formula": "BaHf3Cu",
  "functional": "GGA-PBE",
  "state": "optimized geometry",
  "lattice": [[5.254, 0.000, 0.000], [0.000, 5.254, 0.000], [0.000, 0.000, 5.254]],
  "species": ["Ba", "Hf", "Hf", "Hf", "Cu"],
  "frac_coords": [[0.000, 0.000, 0.000], [0.000, 0.000, 0.500], [0.000, 0.500, 0.000], [0.500, 0.000, 0.000], [0.500, 0.500, 0.500]],
  "total_magnetization_mub_per_fu": 0.000
}

***

A) is the most stable structure; the next one sits 1.646 eV/atom above it.

***

A) {
  "formula": "Ba2CuHg2",
  "functional": "GGA-PBE",
  "state": "optimized geometry",
  "lattice": [[8.564, 0.000, 0.000], [0.000, 8.564, 0.000], [0.000, 0.000, 4.745]],
  "species": ["Ba", "Ba", "Ba", "Ba", "Cu", "Cu", "Hg", "Hg", "Hg", "Hg"],
  "frac_coords": [[0.174, 0.326, 0.000], [0.326, 0.826, 0.000], [0.674, 0.174, 0.000], [0.826, 0.674, 0.000], [0.000, 0.000, 0.500], [0.500, 0.500, 0.500], [0.130, 0.630, 0.500], [0.370, 0.130, 0.500], [0.630, 0.870, 0.500], [0.870, 0.370, 0.500]],
  "total_magnetization_mub_per_fu": 0.000
}

***

B) {
  "formula": "Ba2CuHg2",
  "functional": "GGA-PBE",
  "state": "optimized geometry",
  "lattice": [[-3.354, 3.354, 4.085], [3.354, -3.354, 4.085], [3.354, 3.354, -4.085]],
  "species": ["Ba", "Ba", "Cu", "Hg", "Hg"],
  "frac_coords": [[0.250, 0.750, 0.500], [0.750, 0.250, 0.500], [0.000, 0.000, 0.000], [0.328, 0.328, 0.000], [0.672, 0.672, 0.000]],
  "total_magnetization_mub_per_fu": 0.000
}

***

A) is the most stable structure; the next one sits 0.070 eV/atom above it.

***

A) {
  "formula": "Ba4CuHg",
  "functional": "GGA-PBE",
  "state": "optimized geometry",
  "lattice": [[0.000, 5.180, 5.180], [5.180, 0.000, 5.180], [5.180, 5.180, 0.000]],
  "species": ["Ba", "Ba", "Ba", "Ba", "Cu", "Hg"],
  "frac_coords": [[0.125, 0.125, 0.125], [0.125, 0.125, 0.625], [0.125, 0.625, 0.125], [0.625, 0.125, 0.125], [0.750, 0.750, 0.750], [0.500, 0.500, 0.500]],
  "total_magnetization_mub_per_fu": 0.002
}

***

B) {
  "formula": "Ba4CuHg",
  "functional": "GGA-PBE",
  "state": "optimized geometry",
  "lattice": [[4.160, 0.000, 0.000], [0.000, 4.160, 0.000], [0.000, 0.000, 15.054]],
  "species": ["Ba", "Ba", "Ba", "Ba", "Cu", "Hg"],
  "frac_coords": [[0.000, 0.000, 0.123], [0.000, 0.000, 0.877], [0.500, 0.500, 0.366], [0.500, 0.500, 0.634], [0.500, 0.500, 0.000], [0.000, 0.000, 0.500]],
  "total_magnetization_mub_per_fu": 0.001
}

***

B) is the most stable structure; the next one sits 0.727 eV/atom above it.

***

A) {
  "formula": "BaIn2CuHg",
  "functional": "GGA-PBE",
  "state": "optimized geometry",
  "lattice": [[5.221, 0.000, 0.000], [0.000, 5.221, 0.000], [0.000, 0.000, 5.261]],
  "species": ["Ba", "In", "In", "Cu", "Hg"],
  "frac_coords": [[0.000, 0.000, 0.000], [0.000, 0.500, 0.500], [0.500, 0.000, 0.500], [0.500, 0.500, 0.500], [0.500, 0.500, 0.000]],
  "total_magnetization_mub_per_fu": 0.000
}

***

B) {
  "formula": "BaIn2CuHg",
  "functional": "GGA-PBE",
  "state": "optimized geometry",
  "lattice": [[5.421, 0.000, 0.000], [0.000, 5.421, 0.000], [0.000, 0.000, 6.712]],
  "species": ["Ba", "In", "In", "Cu", "Hg"],
  "frac_coords": [[0.000, 0.000, 0.000], [0.000, 0.500, 0.500], [0.500, 0.000, 0.500], [0.500, 0.500, 0.000], [0.000, 0.000, 0.500]],
  "total_magnetization_mub_per_fu": 0.000
}

***

A) is the most stable structure; the next one sits 0.543 eV/atom above it.

***

A) {
  "formula": "Ba2NaCuHg",
  "functional": "GGA-PBE",
  "state": "optimized geometry",
  "lattice": [[6.201, 0.000, 0.000], [0.000, 6.201, 0.000], [0.000, 0.000, 5.329]],
  "species": ["Ba", "Ba", "Na", "Cu", "Hg"],
  "frac_coords": [[0.000, 0.500, 0.000], [0.500, 0.000, 0.000], [0.000, 0.000, 0.500], [0.000, 0.000, 0.000], [0.500, 0.500, 0.500]],
  "total_magnetization_mub_per_fu": 0.000
}

***

B) {
  "formula": "Ba2NaCuHg",
  "functional": "GGA-PBE",
  "state": "optimized geometry",
  "lattice": [[6.297, 0.000, 0.000], [0.000, 6.297, 0.000], [0.000, 0.000, 5.104]],
  "species": ["Ba", "Ba", "Na", "Cu", "Hg"],
  "frac_coords": [[0.000, 0.500, 0.000], [0.500, 0.000, 0.000], [0.000, 0.000, 0.500], [0.500, 0.500, 0.000], [0.500, 0.500, 0.500]],
  "total_magnetization_mub_per_fu": 0.000
}

***

B) is the most stable structure; the next one sits 0.050 eV/atom above it.